The following is a DFT calculation (PBE-GGA) of an optimized crystal structure of Mg5CuAg4.

POSCAR file:
```
Mg5CuAg4
1.0
3.3336 0.0000 0.0000
0.0000 3.3336 0.0000
0.0000 0.0000 16.2100
Mg Cu Ag
5 1 4
direct
0.0000 0.0000 0.0000
0.0000 0.0000 0.2038
0.0000 0.0000 0.4086
0.0000 0.0000 0.5914
0.0000 0.0000 0.7962
0.5000 0.5000 0.5000
0.5000 0.5000 0.1022
0.5000 0.5000 0.3068
0.5000 0.5000 0.6932
0.5000 0.5000 0.8978
```

Values from the calculation:
* N(E_F): 0.37 states/eV/atom
* space-group type: No. 123
* energy of formation: -2.09 eV/f.u.